Version 1
A relaxed LaTm2Sc crystal, computed with PBE.

Cell: 3.5088 3.5088 11.5155 Å, 81.24 81.24 60.00°
Sites, in units of the cell vectors:
La 0.5008 0.5008 0.4976
Tm 0.0777 0.0777 0.7669
Tm 0.2554 0.2554 0.2337
Sc 0.6660 0.6660 0.0019

Calculated values
* symmetry: R3m (160)
* magnetization: 0.0 μB/f.u.


Version 2
A relaxed LaTm2Sc crystal, computed with PBE.

Cell: 3.5407 3.5405 11.2271 Å, 90.01 90.02 60.00°
Sites, in units of the cell vectors:
La 0.6299 0.0320 0.9497
Tm 0.2960 0.6989 0.2175
Tm 0.2969 0.6991 0.6818
Sc 0.6297 0.0323 0.4496

Calculated values
* symmetry: P-6m2 (187)
* magnetization: 0.0 μB/f.u.


Stability ranking, top entry: version 2; the second entry is 1.0 kJ/mol of atoms less favorable.


Version 1
A relaxed LaTm2Sc crystal, computed with PBE.

Cell: 3.8531 3.8531 8.3438 Å, 90.00 90.00 90.00°
Sites, in units of the cell vectors:
Sc 0.5000 0.5000 0.0000
Tm 0.0000 0.0000 0.7859
Tm 0.0000 0.0000 0.2141
La 0.5000 0.5000 0.5000

Calculated values
* symmetry: P4/mmm (123)
* magnetization: 0.0 μB/f.u.


Version 2
A relaxed LaTm2Sc crystal, computed with PBE.

Cell: 3.5064 3.5064 11.4986 Å, 81.23 81.23 60.00°
Sites, in units of the cell vectors:
Sc 0.0000 0.0000 0.0000
Tm 0.7453 0.7453 0.7640
Tm 0.2547 0.2547 0.2360
La 0.5000 0.5000 0.5000

Calculated values
* symmetry: R-3m (166)
* magnetization: 0.0 μB/f.u.


Stability ranking, top entry: version 2; the second entry is 2.7 kJ/mol of atoms less favorable.